Model a:
NaMgTlPb2: relaxed, PBE.

Computed properties:
Crystal system: tetragonal
V, A^3/atom: 34.5
N(E_F), states/eV/atom: 0.337
Symmetry: P4/mmm (123)

Cell lengths 5.598, 5.500, 5.598 Å; angles 90.00, 90.00, 90.00 degrees
Sites, in units of the cell vectors:
1 Pb 0.000 0.000 0.500
2 Pb 0.500 0.000 0.000
3 Na 0.000 0.000 0.000
4 Tl 0.000 0.500 0.000
5 Mg 0.500 0.500 0.500

***

Model b:
NaMgTlPb2: relaxed, PBE.

Computed properties:
Crystal system: orthorhombic
V, A^3/atom: 34.4
N(E_F), states/eV/atom: 0.170
Symmetry: Cmme (67)

Cell lengths 6.116, 6.111, 10.617 Å; angles 90.00, 90.00, 120.03 degrees
Sites, in units of the cell vectors:
1 Na 0.000 0.000 0.500
2 Na 0.500 0.000 0.500
3 Mg 0.750 0.000 0.000
4 Mg 0.250 0.000 0.000
5 Tl 0.750 0.500 0.901
6 Tl 0.250 0.500 0.099
7 Pb 0.904 0.809 0.227
8 Pb 0.596 0.191 0.227
9 Pb 0.404 0.809 0.773
10 Pb 0.096 0.191 0.773

***

Most stable one: model b, least stable one: model a.

***

Model a:
NaMg2Pd2: relaxed, PBE.

Computed properties:
Crystal system: tetragonal
V, A^3/atom: 21.3
N(E_F), states/eV/atom: 0.261
Symmetry: I4/mmm (139)

Cell lengths 4.308, 4.308, 6.492 Å; angles 70.62, 70.62, 90.00 degrees
Sites, in units of the cell vectors:
1 Na 0.000 0.000 0.000
2 Mg 0.750 0.250 0.500
3 Mg 0.250 0.750 0.500
4 Pd 0.385 0.385 0.230
5 Pd 0.615 0.615 0.770

***

Model b:
NaMg2Pd2: relaxed, PBE.

Computed properties:
Crystal system: tetragonal
V, A^3/atom: 18.5
N(E_F), states/eV/atom: 0.304
Symmetry: P4/mbm (127)

Cell lengths 7.922, 7.922, 2.955 Å; angles 90.00, 90.00, 90.00 degrees
Sites, in units of the cell vectors:
1 Na 0.000 0.000 0.000
2 Na 0.500 0.500 0.000
3 Mg 0.362 0.862 0.000
4 Mg 0.862 0.638 0.000
5 Mg 0.638 0.138 0.000
6 Mg 0.138 0.362 0.000
7 Pd 0.156 0.656 0.500
8 Pd 0.656 0.844 0.500
9 Pd 0.844 0.344 0.500
10 Pd 0.344 0.156 0.500

***

Model c:
NaMg2Pd2: relaxed, PBE.

Computed properties:
Crystal system: tetragonal
V, A^3/atom: 18.6
N(E_F), states/eV/atom: 0.303
Symmetry: P4/mbm (127)

Cell lengths 7.876, 7.876, 2.998 Å; angles 90.00, 90.00, 90.00 degrees
Sites, in units of the cell vectors:
1 Na 0.000 0.000 0.000
2 Na 0.500 0.500 0.000
3 Mg 0.151 0.651 0.500
4 Mg 0.651 0.849 0.500
5 Mg 0.849 0.349 0.500
6 Mg 0.349 0.151 0.500
7 Pd 0.358 0.858 0.000
8 Pd 0.858 0.642 0.000
9 Pd 0.642 0.142 0.000
10 Pd 0.142 0.358 0.000

***

Most stable one: model c, least stable one: model a.

***

Model a:
Na3MgPd: relaxed, PBE.

Computed properties:
Crystal system: cubic
V, A^3/atom: 35.1
N(E_F), states/eV/atom: 0.499
Symmetry: Pm-3m (221)

Cell lengths 5.601, 5.601, 5.601 Å; angles 90.00, 90.00, 90.00 degrees
Sites, in units of the cell vectors:
1 Na 0.000 0.500 0.000
2 Na 0.000 0.000 0.500
3 Na 0.500 0.000 0.000
4 Mg 0.000 0.000 0.000
5 Pd 0.500 0.500 0.500

***

Model b:
Na3MgPd: relaxed, PBE.

Computed properties:
Crystal system: cubic
V, A^3/atom: 32.8
N(E_F), states/eV/atom: 0.628
Symmetry: Pm-3m (221)

Cell lengths 5.476, 5.476, 5.476 Å; angles 90.00, 90.00, 90.00 degrees
Sites, in units of the cell vectors:
1 Na 0.000 0.500 0.000
2 Na 0.000 0.000 0.500
3 Na 0.500 0.000 0.000
4 Mg 0.500 0.500 0.500
5 Pd 0.000 0.000 0.000

***

Most stable one: model b, least stable one: model a.

***

Model a:
Na2MgPd: relaxed, PBE.

Computed properties:
Crystal system: tetragonal
V, A^3/atom: 25.3
N(E_F), states/eV/atom: 0.294
Symmetry: I-42d (122)

Cell lengths 8.649, 8.649, 6.687 Å; angles 49.70, 49.70, 90.00 degrees
Sites, in units of the cell vectors:
1 Na 0.684 0.125 0.250
2 Na 0.066 0.625 0.250
3 Na 0.375 0.316 0.750
4 Na 0.875 0.934 0.750
5 Mg 0.500 0.500 0.000
6 Mg 0.250 0.750 0.500
7 Pd 0.000 0.000 0.000
8 Pd 0.750 0.250 0.500

***

Model b:
Na2MgPd: relaxed, PBE.

Computed properties:
Crystal system: cubic
V, A^3/atom: 22.0
N(E_F), states/eV/atom: 0.329
Symmetry: Fm-3m (225)

Cell lengths 4.992, 4.992, 4.992 Å; angles 60.00, 60.00, 60.00 degrees
Sites, in units of the cell vectors:
1 Na 0.250 0.250 0.250
2 Na 0.750 0.750 0.750
3 Mg 0.000 0.000 0.000
4 Pd 0.500 0.500 0.500

***

Most stable one: model b, least stable one: model a.

***

Model a:
NaMgPd: relaxed, PBE.

Computed properties:
Crystal system: tetragonal
V, A^3/atom: 21.4
N(E_F), states/eV/atom: 0.340
Symmetry: I4mm (107)

Cell lengths 3.202, 3.202, 6.654 Å; angles 103.92, 103.92, 90.00 degrees
Sites, in units of the cell vectors:
1 Na 0.596 0.596 0.191
2 Mg 0.322 0.322 0.644
3 Pd 0.932 0.932 0.865

***

Model b:
NaMgPd: relaxed, PBE.

Computed properties:
Crystal system: monoclinic
V, A^3/atom: 21.7
N(E_F), states/eV/atom: 0.328
Symmetry: C2/m (12)

Cell lengths 3.424, 3.424, 11.123 Å; angles 90.07, 90.07, 90.00 degrees
Sites, in units of the cell vectors:
1 Na 0.748 0.748 0.635
2 Na 0.252 0.252 0.365
3 Mg 0.749 0.749 0.916
4 Mg 0.251 0.251 0.084
5 Pd 0.249 0.249 0.815
6 Pd 0.751 0.751 0.185

***

Most stable one: model b, least stable one: model a.

***

Model a:
NaMg3Pd: relaxed, PBE.

Computed properties:
Crystal system: cubic
V, A^3/atom: 25.6
N(E_F), states/eV/atom: 0.574
Symmetry: Pm-3m (221)

Cell lengths 5.041, 5.041, 5.041 Å; angles 90.00, 90.00, 90.00 degrees
Sites, in units of the cell vectors:
1 Na 0.000 0.000 0.000
2 Mg 0.000 0.500 0.000
3 Mg 0.000 0.000 0.500
4 Mg 0.500 0.000 0.000
5 Pd 0.500 0.500 0.500

***

Model b:
NaMg3Pd: relaxed, PBE.

Computed properties:
Crystal system: cubic
V, A^3/atom: 26.3
N(E_F), states/eV/atom: 0.464
Symmetry: Pm-3m (221)

Cell lengths 5.088, 5.088, 5.088 Å; angles 90.00, 90.00, 90.00 degrees
Sites, in units of the cell vectors:
1 Na 0.500 0.500 0.500
2 Mg 0.000 0.500 0.000
3 Mg 0.000 0.000 0.500
4 Mg 0.500 0.000 0.000
5 Pd 0.000 0.000 0.000

***

Most stable one: model b, least stable one: model a.